# 1
Below is an optimized crystal structure of SiAsPC, with properties calculated at the PBE level.

Calculated values
For the offset from the most stable computed form, the calculation gives 0.045 eV/atom. The calculation puts the energy at -5.8392 eV/atom. Its space-group type is No. 6.

Unit cell a=2.952 b=2.830 c=8.166 alpha=90.00 beta=90.15 gamma=90.00
Fractional positions:
As  0.167  0.500  0.313
Si  0.165  0.500  0.024
P  0.663  0.000  0.737
C  0.664  0.500  0.880


# 2
Below is an optimized crystal structure of Be2SbPb, with properties calculated at the PBE level.

Calculated values
For the offset from the most stable computed form, the calculation gives 0.055 eV/atom. The calculation puts the energy at -3.4665 eV/atom. Its space-group type is No. 6.

Unit cell a=3.855 b=4.403 c=5.755 alpha=69.74 beta=90.00 gamma=90.00
Fractional positions:
Pb  0.000  0.379  0.395
Be  0.500  0.248  0.106
Be  0.000  0.016  0.106
Sb  0.500  0.856  0.893


# 3
Below is an optimized crystal structure of LiSmHoTm, with properties calculated at the PBE level.

Calculated values
The calculation puts the energy at -3.7575 eV/atom. Its space-group type is No. 216.

Unit cell a=5.471 b=5.471 c=5.471 alpha=60.00 beta=60.00 gamma=60.00
Fractional positions:
Ho  0.250  0.250  0.250
Sm  0.750  0.750  0.750
Tm  0.000  0.000  0.000
Li  0.500  0.500  0.500


# 4
Below is an optimized crystal structure of CeSnN, with properties calculated at the PBE level.

Calculated values
For the offset from the most stable computed form, the calculation gives 0.437 eV/atom. The calculation puts the energy at -6.7174 eV/atom. Its space-group type is No. 156.

Unit cell a=5.603 b=3.821 c=3.821 alpha=120.00 beta=90.00 gamma=90.00
Fractional positions:
Ce  0.167  0.000  0.000
N  0.166  0.333  0.667
Sn  0.667  0.667  0.333


# 5
Below is an optimized crystal structure of La4Pr5Sm4, with properties calculated at the PBE level.

Calculated values
The calculation puts the energy at -4.7891 eV/atom. Its space-group type is No. 87.

Unit cell a=5.229 b=9.794 c=9.794 alpha=85.91 beta=74.52 gamma=74.52
Fractional positions:
Sm  0.846  0.923  0.385
Sm  0.769  0.385  0.077
Sm  0.231  0.615  0.923
Sm  0.154  0.077  0.615
Pr  0.460  0.232  0.849
Pr  0.691  0.849  0.768
Pr  0.000  0.000  0.000
Pr  0.309  0.151  0.232
Pr  0.540  0.768  0.151
La  0.923  0.461  0.693
La  0.616  0.307  0.461
La  0.077  0.539  0.307
La  0.384  0.693  0.539


# 6
Below is an optimized crystal structure of Mg2MoPb, with properties calculated at the PBE level.

Calculated values
The calculation puts the energy at -4.0640 eV/atom. Its space-group type is No. 123.

Unit cell a=4.279 b=4.282 c=4.358 alpha=90.00 beta=90.00 gamma=90.00
Each line ends with the local moment (μB).
Fractional positions:
Mo  0.500  0.000  0.500  1.31
Pb  0.000  0.500  0.500  -0.01
Mg  0.500  0.500  0.000  -0.01
Mg  0.000  0.000  0.000  -0.01


# 7
Below is an optimized crystal structure of Ba6Zn5In, with properties calculated at the PBE level.

Calculated values
The calculation puts the energy at -1.9250 eV/atom. Its space-group type is No. 10.

Unit cell a=5.832 b=8.343 c=9.237 alpha=90.00 beta=108.57 gamma=90.00
Fractional positions:
Ba  0.500  0.742  0.000
Ba  0.500  0.258  0.000
Ba  0.832  0.748  0.662
Ba  0.168  0.252  0.338
Ba  0.168  0.748  0.338
Ba  0.832  0.252  0.662
Zn  0.000  0.500  0.000
Zn  0.659  0.000  0.322
Zn  0.666  0.500  0.333
Zn  0.341  0.000  0.678
Zn  0.334  0.500  0.667
In  0.000  0.000  0.000


# 8
Below is an optimized crystal structure of K2Tl15Sn2, with properties calculated at the PBE level.

Calculated values
The calculation puts the energy at -2.4176 eV/atom. Its space-group type is No. 166.

Unit cell a=8.668 b=8.668 c=8.668 alpha=82.50 beta=82.50 gamma=82.50
Fractional positions:
Sn  0.909  0.909  0.909
Sn  0.091  0.091  0.091
Tl  0.645  0.154  0.645
Tl  0.355  0.355  0.846
Tl  0.355  0.846  0.355
Tl  0.154  0.645  0.645
Tl  0.000  0.706  0.294
Tl  0.000  0.500  0.000
Tl  0.706  0.000  0.294
Tl  0.000  0.294  0.706
Tl  0.500  0.000  0.000
Tl  0.294  0.000  0.706
Tl  0.706  0.294  0.000
Tl  0.645  0.645  0.154
Tl  0.846  0.355  0.355
Tl  0.000  0.000  0.500
Tl  0.294  0.706  0.000
K  0.670  0.670  0.670
K  0.330  0.330  0.330


# 9
Below is an optimized crystal structure of CrHgP, with properties calculated at the PBE level.

Calculated values
For the offset from the most stable computed form, the calculation gives 0.004 eV/atom. The calculation puts the energy at -5.1835 eV/atom. Its space-group type is No. 6.

Unit cell a=3.017 b=3.017 c=11.650 alpha=90.00 beta=90.73 gamma=90.00
Each line ends with the local moment (μB).
Fractional positions:
P  0.621  0.000  0.064  0.01
P  0.106  0.500  0.762  -0.01
Hg  0.113  0.500  0.525  0.00
Hg  0.128  0.500  0.269  0.00
Cr  0.610  0.000  0.844  0.30
Cr  0.117  0.500  0.984  -0.13


# 10
Below is an optimized crystal structure of CsYb3, with properties calculated at the PBE level.

Calculated values
For the offset from the most stable computed form, the calculation gives 0.014 eV/atom. The calculation puts the energy at -1.1244 eV/atom. Its space-group type is No. 221.

Unit cell a=5.766 b=5.766 c=5.766 alpha=90.00 beta=90.00 gamma=90.00
Each line ends with the local moment (μB).
Fractional positions:
Yb  0.500  0.000  0.500  0.23
Yb  0.500  0.500  0.000  0.23
Yb  0.000  0.500  0.500  0.23
Cs  0.000  0.000  0.000  0.00


# 11
Below is an optimized crystal structure of Si2HgAu, with properties calculated at the PBE level.

Calculated values
The calculation puts the energy at -3.1304 eV/atom. Its space-group type is No. 47.

Unit cell a=2.753 b=5.297 c=5.186 alpha=90.00 beta=90.00 gamma=90.00
Fractional positions:
Au  0.500  0.000  0.500
Hg  0.000  0.500  0.500
Si  0.000  0.000  0.000
Si  0.500  0.500  0.000


# 12
Below is an optimized crystal structure of LiTbHf, with properties calculated at the PBE level.

Calculated values
For the offset from the most stable computed form, the calculation gives 0.000 eV/atom. The calculation puts the energy at -5.4038 eV/atom. Its space-group type is No. 129.

Unit cell a=3.248 b=3.248 c=14.233 alpha=90.00 beta=90.00 gamma=90.00
Fractional positions:
Tb  0.000  0.500  0.255
Tb  0.500  0.000  0.745
Li  0.500  0.000  0.070
Li  0.000  0.500  0.930
Hf  0.500  0.000  0.425
Hf  0.000  0.500  0.575